# 1
! NaSr2ScIr, optimized geometry, DFT PBE-GGA; values from VASP
&SYSTEM
  ibrav = 0, nat = 5, ntyp = 4
/
ATOMIC_SPECIES
Sr 87.62 Sr.upf
Ir 192.22 Ir.upf
Na 22.99 Na.upf
Sc 44.96 Sc.upf
ATOMIC_POSITIONS angstrom
Sr 0.0000 0.0000 2.8705
Sr 2.8705 0.0000 0.0000
Ir 0.0000 0.0000 0.0000
Na 0.0000 2.7921 0.0000
Sc 2.8705 2.7921 2.8705
CELL_PARAMETERS angstrom
5.7409 0.0000 0.0000
0.0000 5.5842 0.0000
0.0000 0.0000 5.7409
! * energy above the most stable polymorph in this dataset: 0.6229 eV per atom
! * SG: P4/mmm, No. 123

---

# 2
! SrDy2AgS4, optimized geometry, DFT PBE-GGA; values from VASP
&SYSTEM
  ibrav = 0, nat = 16, ntyp = 4
/
ATOMIC_SPECIES
S 32.06 S.upf
Ag 107.87 Ag.upf
Dy 162.50 Dy.upf
Sr 87.62 Sr.upf
ATOMIC_POSITIONS angstrom
S 0.0000 0.0000 0.0000
S -9.1412 -0.6126 7.8693
S -3.5956 -1.4855 0.5869
Ag -2.9674 -0.1545 2.6440
Dy -9.1935 0.6523 10.4708
Sr -5.4326 1.7017 8.8404
S -5.0792 -0.5333 3.9836
Dy -7.1435 -0.6635 5.7772
Sr -6.2639 -0.0706 1.1807
S -2.5553 2.2437 2.1517
S -6.6173 2.1644 6.0375
S -2.6817 1.7211 6.1397
Ag -8.7291 1.7855 7.3771
Dy -2.5029 0.9788 -0.4498
Dy -4.5530 2.2945 4.2438
S -8.1009 3.1166 9.4342
CELL_PARAMETERS angstrom
-1.6171 3.2727 -1.6237
-4.7160 -5.0839 -0.6347
-5.3633 3.4422 12.2795
! * SG: Cmcm, No. 63
! * uncorrected formation energy: -1.667 eV/atom

---

# 3
! Ca2Ac5Ir4, optimized geometry, DFT PBE-GGA; values from VASP
&SYSTEM
  ibrav = 0, nat = 11, ntyp = 3
/
ATOMIC_SPECIES
Ir 192.22 Ir.upf
Ac 227.00 Ac.upf
Ca 40.08 Ca.upf
ATOMIC_POSITIONS angstrom
Ir 2.8984 3.2146 3.1907
Ac 0.9538 5.0867 4.3953
Ac 3.4973 2.4385 5.9505
Ir -0.0467 2.1243 -0.2154
Ac 0.6099 1.3978 2.8107
Ir 1.5526 4.3105 7.1551
Ca 2.1633 3.6412 9.9691
Ac 2.1068 0.0000 -0.4572
Ir 4.4978 5.4008 10.5612
Ca 2.2878 3.8840 0.3767
Ac 3.8411 6.1273 7.5351
CELL_PARAMETERS angstrom
4.2136 0.0000 -0.9144
-0.3576 6.5430 -1.6478
0.5950 0.9821 12.9080
! * SG: C2/m, No. 12

---

# 4
! MnFeCu2, optimized geometry, DFT PBE-GGA; values from VASP
&SYSTEM
  ibrav = 0, nat = 4, ntyp = 3
/
ATOMIC_SPECIES
Cu 63.55 Cu.upf
Fe 55.84 Fe.upf
Mn 54.94 Mn.upf
ATOMIC_POSITIONS angstrom
Cu 0.0000 2.1557 2.9522
Fe 1.8392 1.0773 1.4859
Cu 0.0000 2.5805 0.4454
Mn 1.8392 3.2320 4.4576
CELL_PARAMETERS angstrom
3.6783 0.0000 0.0000
0.0000 2.5815 0.4259
0.0000 1.7279 5.5176
! * SG: P2/m, No. 10

---

# 5
! Cr2OsCl, optimized geometry, DFT PBE-GGA; values from VASP
&SYSTEM
  ibrav = 0, nat = 4, ntyp = 3
/
ATOMIC_SPECIES
Cr 52.00 Cr.upf
Os 190.23 Os.upf
Cl 35.45 Cl.upf
ATOMIC_POSITIONS angstrom
Cr 7.1501 1.1181 0.6560
Os 14.4960 2.2667 1.3300
Cr 27.7899 4.3455 2.5498
Cl 20.1240 3.1468 1.8464
CELL_PARAMETERS angstrom
9.5568 0.1083 0.0635
9.1336 2.8143 0.0635
9.1336 1.4282 2.4259
! * energy above the most stable polymorph in this dataset: 0.1390 eV per atom
! * SG: R3m, No. 160
! * uncorrected formation energy: 0.308 eV/atom

---

# 6
! B3RhBr, optimized geometry, DFT PBE-GGA; values from VASP
&SYSTEM
  ibrav = 0, nat = 5, ntyp = 3
/
ATOMIC_SPECIES
Rh 102.91 Rh.upf
B 10.81 B.upf
Br 79.90 Br.upf
ATOMIC_POSITIONS angstrom
Rh 0.0000 0.0000 0.0000
B -1.5355 1.3377 -0.5097
B -0.9248 -1.4975 -1.1443
Br -3.5530 -0.7722 0.0306
B -1.0927 -0.6124 1.6846
CELL_PARAMETERS angstrom
-1.8496 -2.9950 -2.2886
-2.1855 -1.2249 3.3692
-3.0710 2.6755 -1.0194
! * energy above the most stable polymorph in this dataset: 0.0000 eV per atom
! * SG: Pm-3m, No. 221
! * uncorrected formation energy: 1.066 eV/atom

---

# 7
! Ni2MoBr, optimized geometry, DFT PBE-GGA; values from VASP
&SYSTEM
  ibrav = 0, nat = 4, ntyp = 3
/
ATOMIC_SPECIES
Mo 95.94 Mo.upf
Ni 58.69 Ni.upf
Br 79.90 Br.upf
ATOMIC_POSITIONS angstrom
Mo -1.3156 0.5270 2.0815
Ni -7.0701 -0.0228 4.8082
Ni -2.9211 0.9288 4.0824
Br -3.9469 1.5810 6.2446
CELL_PARAMETERS angstrom
-4.0794 1.2242 1.7827
-3.2806 -1.3722 2.9449
2.0974 2.2561 3.5986
! * energy above the most stable polymorph in this dataset: 0.3197 eV per atom
! * SG: C2/m, No. 12
! * uncorrected formation energy: 0.652 eV/atom

---

# 8
! PrDyTe2S, optimized geometry, DFT PBE-GGA; values from VASP
&SYSTEM
  ibrav = 0, nat = 10, ntyp = 4
/
ATOMIC_SPECIES
Te 127.60 Te.upf
S 32.06 S.upf
Dy 162.50 Dy.upf
Pr 140.91 Pr.upf
ATOMIC_POSITIONS angstrom
Te 2.2348 0.0000 14.2916
Te 2.2348 0.0000 4.6440
Te 0.0000 2.2348 11.1124
S 0.0000 0.0000 7.8782
Dy 2.2348 0.0000 1.7409
S 2.2348 2.2348 7.8782
Te 0.0000 2.2348 1.4648
Pr 2.2348 0.0000 9.5583
Dy 0.0000 2.2348 14.0156
Pr 0.0000 2.2348 6.1981
CELL_PARAMETERS angstrom
4.4696 0.0000 0.0000
0.0000 4.4696 0.0000
0.0000 0.0000 15.7565
! * SG: P4/nmm, No. 129
! * uncorrected formation energy: -1.490 eV/atom

---

# 9
! LiHoIr4, optimized geometry, DFT PBE-GGA; values from VASP
&SYSTEM
  ibrav = 0, nat = 6, ntyp = 3
/
ATOMIC_SPECIES
Ir 192.22 Ir.upf
Ho 164.93 Ho.upf
Li 6.94 Li.upf
ATOMIC_POSITIONS angstrom
Ir -5.8258 0.8701 -1.5775
Ir -7.7793 -0.8704 -1.9152
Ho -3.1099 -0.3480 -0.7656
Ir -5.9637 -1.2720 -0.0439
Li 0.0000 0.0000 0.0000
Ir -5.3104 -1.5114 -2.5886
CELL_PARAMETERS angstrom
-3.6206 0.8009 -3.7318
-3.8956 -3.4710 -0.6736
-4.9234 1.2782 1.3428
! * SG: F-43m, No. 216

---

# 10
! VAgSnPb2, optimized geometry, DFT PBE-GGA; values from VASP
&SYSTEM
  ibrav = 0, nat = 5, ntyp = 4
/
ATOMIC_SPECIES
V 50.94 V.upf
Ag 107.87 Ag.upf
Pb 207.20 Pb.upf
Sn 118.71 Sn.upf
ATOMIC_POSITIONS angstrom
V 0.0000 2.5567 0.0000
Ag 0.0000 0.0000 0.0000
Pb 0.0000 0.0000 2.6948
Pb 2.6948 0.0000 0.0000
Sn 2.6948 2.5567 2.6948
CELL_PARAMETERS angstrom
5.3897 0.0000 0.0000
0.0000 5.1135 0.0000
0.0000 0.0000 5.3897
! * SG: P4/mmm, No. 123

---

# 11
! TbNi5Sn2, optimized geometry, DFT PBE-GGA; values from VASP
&SYSTEM
  ibrav = 0, nat = 8, ntyp = 3
/
ATOMIC_SPECIES
Ni 58.69 Ni.upf
Sn 118.71 Sn.upf
Tb 158.93 Tb.upf
ATOMIC_POSITIONS angstrom
Ni 3.7257 4.3293 5.1941
Sn 1.8628 2.1647 1.7976
Ni 3.7257 2.4568 3.6392
Ni 3.7257 5.9011 3.3013
Ni 1.8628 4.1790 3.4703
Ni 3.7257 4.0286 1.7464
Sn 5.5885 6.1932 5.1429
Tb 0.0000 0.0000 0.0000
CELL_PARAMETERS angstrom
3.7257 0.0000 0.0000
1.8628 6.2326 0.9972
1.8628 2.1253 5.9433
! * SG: Immm, No. 71

---

# 12
! NaNb2PdF, optimized geometry, DFT PBE-GGA; values from VASP
&SYSTEM
  ibrav = 0, nat = 5, ntyp = 4
/
ATOMIC_SPECIES
Nb 92.91 Nb.upf
F 19.00 F.upf
Pd 106.42 Pd.upf
Na 22.99 Na.upf
ATOMIC_POSITIONS angstrom
Nb 2.4487 0.0000 0.0000
F 2.4487 2.7981 2.4487
Pd 0.0000 0.0000 0.0000
Na 0.0000 2.7981 0.0000
Nb 0.0000 0.0000 2.4487
CELL_PARAMETERS angstrom
4.8974 0.0000 0.0000
0.0000 5.5961 0.0000
0.0000 0.0000 4.8974
! * SG: P4/mmm, No. 123
! * uncorrected formation energy: 0.876 eV/atom

---

# 13
! In3GaP, optimized geometry, DFT PBE-GGA; values from VASP
&SYSTEM
  ibrav = 0, nat = 5, ntyp = 3
/
ATOMIC_SPECIES
Ga 69.72 Ga.upf
In 114.82 In.upf
P 30.97 P.upf
ATOMIC_POSITIONS angstrom
Ga 0.0000 0.0000 0.0000
In -2.0962 -0.9597 1.2009
P -2.1868 -3.7519 -1.1886
In -1.1314 -0.4117 -2.3038
In 1.0408 -2.3805 -0.0857
CELL_PARAMETERS angstrom
-2.2628 -0.8235 -4.6077
2.0816 -4.7610 -0.1714
-4.1924 -1.9194 2.4019
! * energy above the most stable polymorph in this dataset: 0.1652 eV per atom
! * SG: Pm-3m, No. 221

---

# 14
! Ce5ThIn6, optimized geometry, DFT PBE-GGA; values from VASP
&SYSTEM
  ibrav = 0, nat = 12, ntyp = 3
/
ATOMIC_SPECIES
Ce 140.12 Ce.upf
Th 232.04 Th.upf
In 114.82 In.upf
ATOMIC_POSITIONS angstrom
Ce 0.6846 4.0058 2.4322
Ce 1.7703 1.4639 6.3131
Th 0.0000 0.0000 0.0000
In 2.6568 2.0067 0.5711
In -1.2876 6.0048 4.2932
In 1.5735 4.7258 5.6022
In -0.2043 3.2857 -0.7379
Ce -0.4011 6.5477 -1.4487
Ce -2.1802 5.2980 1.1102
In 0.4795 7.2871 1.6917
Ce -1.0778 2.7170 5.0508
In 0.8896 0.7244 3.1727
CELL_PARAMETERS angstrom
4.6272 -0.0035 -1.2967
-3.2717 7.8535 -2.7914
0.0137 0.1615 8.9525
! * SG: Immm, No. 71

---

# 15
! YUCr, optimized geometry, DFT PBE-GGA; values from VASP
&SYSTEM
  ibrav = 0, nat = 6, ntyp = 3
/
ATOMIC_SPECIES
U 238.03 U.upf
Y 88.91 Y.upf
Cr 52.00 Cr.upf
ATOMIC_POSITIONS angstrom
U 0.0000 1.4174 0.7746
Y 0.0000 0.4643 5.3424
U 1.7940 -0.1705 13.0433
Cr 0.0000 0.8488 10.8554
Y 1.7940 0.7826 8.4755
Cr 1.7940 0.3981 2.9625
CELL_PARAMETERS angstrom
3.5880 0.0000 0.0000
-1.7940 2.5193 -0.6018
0.0000 -1.2724 14.4197
! * SG: C2/m, No. 12

---

# 16
! MnTe2Rh, optimized geometry, DFT PBE-GGA; values from VASP
&SYSTEM
  ibrav = 0, nat = 4, ntyp = 3
/
ATOMIC_SPECIES
Mn 54.94 Mn.upf
Te 127.60 Te.upf
Rh 102.91 Rh.upf
ATOMIC_POSITIONS angstrom
Mn -2.8532 0.4043 0.4989
Te -3.0439 -0.8493 5.9342
Rh -4.3754 -0.0204 3.4664
Te -1.5227 -0.4249 2.9685
CELL_PARAMETERS angstrom
-1.6722 2.9092 -0.4414
-2.5120 -1.6758 -1.5284
-3.0444 -0.8495 5.9351
! * SG: P4/mmm, No. 123
! * uncorrected formation energy: 0.128 eV/atom

---

# 17
! Ce2GaB2Ru5, optimized geometry, DFT PBE-GGA; values from VASP
&SYSTEM
  ibrav = 0, nat = 20, ntyp = 4
/
ATOMIC_SPECIES
Ce 140.12 Ce.upf
Ga 69.72 Ga.upf
Ru 101.07 Ru.upf
B 10.81 B.upf
ATOMIC_POSITIONS angstrom
Ce -5.5576 -8.3001 2.3897
Ga -3.1089 -5.8126 1.7265
Ru -4.5248 -9.8639 4.6342
Ru -3.1997 -3.2157 2.5087
B -3.0860 -2.1889 0.5207
Ce -0.6603 -3.3252 1.0633
Ce -0.5446 -8.0885 2.6582
Ru -4.6786 -0.9960 1.6691
Ru -0.9972 -5.2828 3.3464
B -3.1319 -9.4363 2.9323
Ce -5.6732 -3.5367 0.7948
Ru -5.4212 -5.3547 3.0712
Ru 1.3693 -3.8289 3.0219
B -6.9202 -5.8681 1.4873
Ru -7.9621 -4.1644 2.5028
Ru 1.5438 -6.4731 3.9148
B 0.7023 -5.7572 1.9657
Ru -3.2186 -7.4218 3.9089
Ga 0.0000 0.0000 0.0000
Ru -1.8936 -0.7736 1.7833
CELL_PARAMETERS angstrom
-0.2005 0.9878 2.9645
-9.1568 -2.9797 0.3736
2.9390 -8.6456 3.0793
! * SG: P4/mbm, No. 127

---

# 18
! Cu2Au3, optimized geometry, DFT PBE-GGA; values from VASP
&SYSTEM
  ibrav = 0, nat = 5, ntyp = 2
/
ATOMIC_SPECIES
Au 196.97 Au.upf
Cu 63.55 Cu.upf
ATOMIC_POSITIONS angstrom
Au -0.4377 -1.0796 2.6562
Cu -2.4871 -0.0799 4.1433
Cu -2.6036 1.2944 7.5590
Au -0.5533 0.2854 6.0486
Au -0.6690 1.6503 9.4410
CELL_PARAMETERS angstrom
-2.2941 3.8865 8.6618
-2.3642 -1.5315 0.5356
1.6200 -2.1752 0.9305
! * energy above the most stable polymorph in this dataset: 0.0000 eV per atom
! * SG: I4/mmm, No. 139

---

# 19
! V4ReB4, optimized geometry, DFT PBE-GGA; values from VASP
&SYSTEM
  ibrav = 0, nat = 18, ntyp = 3
/
ATOMIC_SPECIES
B 10.81 B.upf
V 50.94 V.upf
Re 186.21 Re.upf
ATOMIC_POSITIONS angstrom
B -4.0579 -4.8090 0.2721
V -2.9778 -0.6546 1.7547
V -1.1572 -2.4268 3.1394
B -4.4905 -2.8628 4.6390
B -2.1747 -2.3595 0.5223
Re -3.1323 -3.7164 1.8112
B -0.9576 -1.3569 1.2889
B -3.4120 -2.3275 3.3643
V -4.9836 -4.6478 3.5528
B -4.7932 -3.8279 -0.9814
B -2.8846 -5.3695 3.0860
V -2.5209 -3.8017 4.8146
V -4.3788 -2.0236 0.1057
V -2.0095 -5.7673 0.4468
V -4.4133 -6.5013 1.8808
V -2.6172 -3.9079 -1.2054
B -2.2879 -6.8179 2.2983
Re 0.0000 0.0000 0.0000
CELL_PARAMETERS angstrom
-4.2244 1.0382 0.0492
-1.4944 -5.9588 -2.5697
-0.5458 -2.5122 6.1428
! * SG: P4_2/n, No. 86

---

# 20
! BaBe2SiC, optimized geometry, DFT PBE-GGA; values from VASP
&SYSTEM
  ibrav = 0, nat = 5, ntyp = 4
/
ATOMIC_SPECIES
Si 28.09 Si.upf
C 12.01 C.upf
Ba 137.33 Ba.upf
Be 9.01 Be.upf
ATOMIC_POSITIONS angstrom
Si 1.9529 2.9435 1.9529
C 0.0000 0.0000 0.0000
Ba 0.0000 2.9435 0.0000
Be 0.0000 0.0000 1.9529
Be 1.9529 0.0000 0.0000
CELL_PARAMETERS angstrom
3.9059 0.0000 0.0000
0.0000 5.8870 0.0000
0.0000 0.0000 3.9059
! * SG: P4/mmm, No. 123
! * uncorrected formation energy: 0.986 eV/atom

---

no.,DFT total energy (eV/atom)
1,-3.50
2,-5.45
3,-5.92
4,-6.27
5,-7.77
6,-4.75
7,-5.36
8,-5.45
9,-7.45
10,-3.69
11,-5.46
12,-4.83
13,-2.78
14,-4.81
15,-8.74
16,-5.57
17,-7.99
18,-3.65
19,-8.66
20,-3.82